one) A plane-wave DFT calculation with PBE was carried out for Rb2BaCr after structural relaxation.

Symmetry: Fm-3m (225)
Density of states at the Fermi level (states/eV/f.u.): 4.3
Magnetization (μB/f.u.): 4.8

a = 6.768 Å, b = 6.768 Å, c = 6.768 Å
α = 60.00°, β = 60.00°, γ = 60.00°
Fractional coordinates of all 4 atoms:
Rb (0.250, 0.250, 0.250)
Rb (0.750, 0.750, 0.750)
Ba (0.000, 0.000, 0.000)
Cr (0.500, 0.500, 0.500)


two) A plane-wave DFT calculation with PBE was carried out for Rb2BaCr after structural relaxation.

Symmetry: I4_1/amd (141)
Density of states at the Fermi level (states/eV/f.u.): 4.4
Magnetization (μB/f.u.): 5.6

a = 12.422 Å, b = 12.422 Å, c = 12.422 Å
α = 143.87°, β = 143.87°, γ = 52.03°
Fractional coordinates of all 8 atoms:
Rb (0.000, 0.000, 0.000)
Rb (0.000, 0.000, 0.500)
Rb (0.000, 0.500, 0.000)
Rb (0.500, 0.000, 0.500)
Ba (0.375, 0.625, 0.750)
Ba (0.625, 0.375, 0.250)
Cr (0.125, 0.875, 0.250)
Cr (0.875, 0.125, 0.750)


Short version: one) is the most stable of them.


one) A plane-wave DFT calculation with PBE was carried out for BaCrRe3 after structural relaxation.

Symmetry: Pm-3m (221)
Density of states at the Fermi level (states/eV/f.u.): 3.2
Magnetization (μB/f.u.): 2.2

a = 4.688 Å, b = 4.688 Å, c = 4.688 Å
α = 90.00°, β = 90.00°, γ = 90.00°
Fractional coordinates of all 5 atoms:
Ba (0.000, 0.000, 0.000)
Cr (0.500, 0.500, 0.500)
Re (0.000, 0.500, 0.500)
Re (0.500, 0.000, 0.500)
Re (0.500, 0.500, 0.000)


two) A plane-wave DFT calculation with PBE was carried out for BaCrRe3 after structural relaxation.

Symmetry: Pm-3m (221)
Density of states at the Fermi level (states/eV/f.u.): 10.3
Magnetization (μB/f.u.): 0.1

a = 4.894 Å, b = 4.894 Å, c = 4.894 Å
α = 90.00°, β = 90.00°, γ = 90.00°
Fractional coordinates of all 5 atoms:
Ba (0.000, 0.000, 0.000)
Cr (0.500, 0.500, 0.500)
Re (0.000, 0.000, 0.500)
Re (0.000, 0.500, 0.000)
Re (0.500, 0.000, 0.000)


Short version: one) is the most stable of them.


one) A plane-wave DFT calculation with PBE was carried out for Ba2CrRh after structural relaxation.

Symmetry: Fm-3m (225)
Density of states at the Fermi level (states/eV/f.u.): 1.2
Magnetization (μB/f.u.): 5.1

a = 5.580 Å, b = 5.580 Å, c = 5.580 Å
α = 60.00°, β = 60.00°, γ = 60.00°
Fractional coordinates of all 4 atoms:
Ba (0.250, 0.250, 0.250)
Ba (0.750, 0.750, 0.750)
Cr (0.000, 0.000, 0.000)
Rh (0.500, 0.500, 0.500)


two) A plane-wave DFT calculation with PBE was carried out for Ba2CrRh after structural relaxation.

Symmetry: F-43m (216)
Density of states at the Fermi level (states/eV/f.u.): 2.2
Magnetization (μB/f.u.): 5.0

a = 5.399 Å, b = 5.399 Å, c = 5.399 Å
α = 60.00°, β = 60.00°, γ = 60.00°
Fractional coordinates of all 4 atoms:
Ba (0.000, 0.000, 0.000)
Ba (0.250, 0.250, 0.250)
Cr (0.500, 0.500, 0.500)
Rh (0.750, 0.750, 0.750)


three) A plane-wave DFT calculation with PBE was carried out for Ba2CrRh after structural relaxation.

Symmetry: I-4m2 (119)
Density of states at the Fermi level (states/eV/f.u.): 2.1
Magnetization (μB/f.u.): 4.9

a = 5.959 Å, b = 5.959 Å, c = 5.959 Å
α = 131.71°, β = 131.71°, γ = 70.69°
Fractional coordinates of all 4 atoms:
Ba (0.000, 0.000, 0.000)
Ba (0.750, 0.250, 0.500)
Cr (0.250, 0.750, 0.500)
Rh (0.500, 0.500, 0.000)


Short version: one) is the most stable of them.